No. 1
Computed, not measured: a relaxed structure of Ga2Ni3Rh3 at the PBE level of DFT.

Properties
For the density of states at the Fermi level, the calculation gives 9.2 states/eV per cell. Its final energy is -5.9842 eV/atom. For the total magnetization, the calculation gives 0.00 μB/atom. As for the symmetry: Pmmm (47).

Unit cell a=4.121 b=4.161 c=6.033 alpha=90.00 beta=90.00 gamma=90.00
Element x y z (fractional)
1 Ga 0.000 0.000 0.754
2 Ga 0.000 0.000 0.246
3 Rh 0.500 0.000 0.500
4 Rh 0.500 0.000 0.000
5 Rh 0.000 0.500 0.500
6 Ni 0.500 0.500 0.760
7 Ni 0.500 0.500 0.240
8 Ni 0.000 0.500 0.000

No. 2
Computed, not measured: a relaxed structure of Ac2PmNdSb4 at the PBE level of DFT.

Properties
For the density of states at the Fermi level, the calculation gives 0.9 states/eV per cell. The formation energy from raw total energies is -1.190 eV per atom. Its final energy is -5.4678 eV/atom. For the total magnetization, the calculation gives 0.00 μB/atom. As for the symmetry: P2/m (10).

Unit cell a=4.655 b=8.069 c=8.059 alpha=70.56 beta=90.00 gamma=90.00
Element x y z (fractional)
1 Sb 0.000 0.735 0.754
2 Sb 0.500 0.266 0.744
3 Sb 0.000 0.265 0.246
4 Sb 0.500 0.734 0.256
5 Ac 0.500 0.000 0.500
6 Ac 0.000 0.000 0.000
7 Nd 0.500 0.500 0.000
8 Pm 0.000 0.500 0.500

No. 3
Computed, not measured: a relaxed structure of Tb3USb4 at the PBE level of DFT.

Properties
For the density of states at the Fermi level, the calculation gives 7.7 states/eV per cell. The formation energy from raw total energies is -0.900 eV per atom. Its final energy is -6.1086 eV/atom. For the total magnetization, the calculation gives 0.32 μB/atom. As for the symmetry: Cmmm (65).

Unit cell a=4.375 b=7.619 c=7.619 alpha=109.08 beta=90.00 gamma=90.00
Element x y z (fractional)
1 Tb 0.000 0.500 0.000
2 Tb 0.500 0.500 0.500
3 Tb 0.000 0.000 0.500
4 Sb 0.000 0.250 0.250
5 Sb 0.500 0.752 0.248
6 Sb 0.000 0.750 0.750
7 Sb 0.500 0.248 0.752
8 U 0.500 0.000 0.000

No. 4
Computed, not measured: a relaxed structure of NdDy4 at the PBE level of DFT.

Properties
For the density of states at the Fermi level, the calculation gives 16.1 states/eV per cell. Its final energy is -4.5953 eV/atom. For the total magnetization, the calculation gives 0.00 μB/atom. Its energy relative to the lowest polymorph listed for this composition is 23 meV/atom. As for the symmetry: Cmmm (65).

Unit cell a=7.059 b=6.492 c=9.497 alpha=63.73 beta=68.18 gamma=57.07
Element x y z (fractional)
1 Dy 0.805 0.610 0.779
2 Dy 0.850 0.200 0.600
3 Dy 0.650 0.800 0.400
4 Dy 0.305 0.611 0.779
5 Dy 0.150 0.800 0.400
6 Dy 0.195 0.390 0.221
7 Dy 0.695 0.389 0.221
8 Dy 0.350 0.200 0.600
9 Nd 0.750 0.000 0.000
10 Nd 0.250 0.000 0.000

No. 5
Computed, not measured: a relaxed structure of ZrSi2Tc at the PBE level of DFT.

Properties
For the density of states at the Fermi level, the calculation gives 1.9 states/eV per cell. The formation energy from raw total energies is -0.304 eV per atom. Its final energy is -7.7436 eV/atom. For the total magnetization, the calculation gives 0.00 μB/atom. Its energy relative to the lowest polymorph listed for this composition is 224 meV/atom. As for the symmetry: Pmmm (47).

Unit cell a=3.405 b=4.634 c=4.013 alpha=90.00 beta=90.00 gamma=90.00
Element x y z (fractional)
1 Si 0.000 0.000 0.000
2 Si 0.500 0.500 0.000
3 Zr 0.000 0.500 0.500
4 Tc 0.500 0.000 0.500

No. 6
Computed, not measured: a relaxed structure of Ac3SiRh at the PBE level of DFT.

Properties
For the density of states at the Fermi level, the calculation gives 13.8 states/eV per cell. The formation energy from raw total energies is -0.505 eV per atom. Its final energy is -5.5252 eV/atom. For the total magnetization, the calculation gives 0.00 μB/atom. Its energy relative to the lowest polymorph listed for this composition is 0 meV/atom. As for the symmetry: Pnma (62).

Unit cell a=4.392 b=14.132 c=10.682 alpha=90.00 beta=90.00 gamma=90.00
Element x y z (fractional)
1 Si 0.750 0.498 0.735
2 Si 0.250 0.998 0.765
3 Si 0.250 0.502 0.265
4 Si 0.750 0.002 0.235
5 Ac 0.250 0.894 0.425
6 Ac 0.250 0.336 0.755
7 Ac 0.750 0.664 0.245
8 Ac 0.750 0.394 0.075
9 Ac 0.750 0.113 0.948
10 Ac 0.750 0.836 0.745
11 Ac 0.250 0.613 0.552
12 Ac 0.250 0.164 0.255
13 Ac 0.250 0.887 0.052
14 Ac 0.750 0.106 0.575
15 Ac 0.750 0.387 0.448
16 Ac 0.250 0.606 0.925
17 Rh 0.750 0.745 0.990
18 Rh 0.250 0.245 0.510
19 Rh 0.250 0.255 0.010
20 Rh 0.750 0.755 0.490

No. 7
Computed, not measured: a relaxed structure of Mg6CoMo at the PBE level of DFT.

Properties
For the density of states at the Fermi level, the calculation gives 5.7 states/eV per cell. Its final energy is -3.1519 eV/atom. For the total magnetization, the calculation gives 0.19 μB/atom. Its energy relative to the lowest polymorph listed for this composition is 46 meV/atom. As for the symmetry: Amm2 (38).

Unit cell a=6.090 b=6.090 c=4.754 alpha=90.00 beta=90.00 gamma=122.96
Element x y z (fractional)
1 Co 0.831 0.169 0.500
2 Mg 0.178 0.822 0.000
3 Mg 0.661 0.832 0.000
4 Mg 0.688 0.312 0.000
5 Mg 0.168 0.339 0.000
6 Mg 0.325 0.174 0.500
7 Mg 0.826 0.675 0.500
8 Mo 0.323 0.677 0.500

No. 8
Computed, not measured: a relaxed structure of Cs3Rb2Sn4 at the PBE level of DFT.

Properties
For the density of states at the Fermi level, the calculation gives 5.3 states/eV per cell. Its final energy is -2.4713 eV/atom. For the total magnetization, the calculation gives 0.00 μB/atom. As for the symmetry: C2/m (12).

Unit cell a=8.832 b=7.713 c=8.278 alpha=57.58 beta=90.02 gamma=99.28
Element x y z (fractional)
1 Sn 0.853 0.520 0.916
2 Sn 0.147 0.480 0.084
3 Sn 0.147 0.480 0.436
4 Sn 0.853 0.520 0.564
5 Cs 0.000 0.000 0.000
6 Cs 0.768 0.076 0.462
7 Cs 0.232 0.924 0.538
8 Rb 0.543 0.636 0.182
9 Rb 0.457 0.364 0.818

No. 9
Computed, not measured: a relaxed structure of Ge3CO at the PBE level of DFT.

Properties
For the density of states at the Fermi level, the calculation gives 0.4 states/eV per cell. The formation energy from raw total energies is 1.089 eV per atom. Its final energy is -4.5174 eV/atom. For the total magnetization, the calculation gives 0.00 μB/atom. Its energy relative to the lowest polymorph listed for this composition is 0 meV/atom. As for the symmetry: Pm-3m (221).

Unit cell a=4.368 b=4.368 c=4.368 alpha=90.00 beta=90.00 gamma=90.00
Element x y z (fractional)
1 Ge 0.000 0.500 0.000
2 Ge 0.500 0.000 0.000
3 Ge 0.000 0.000 0.500
4 O 0.000 0.000 0.000
5 C 0.500 0.500 0.500

No. 10
Computed, not measured: a relaxed structure of TlOs2Br at the PBE level of DFT.

Properties
For the density of states at the Fermi level, the calculation gives 3.3 states/eV per cell. The formation energy from raw total energies is 0.774 eV per atom. Its final energy is -5.8507 eV/atom. For the total magnetization, the calculation gives 0.00 μB/atom. Its energy relative to the lowest polymorph listed for this composition is 233 meV/atom. As for the symmetry: R3m (160).

Unit cell a=10.598 b=10.598 c=10.598 alpha=16.12 beta=16.12 gamma=16.12
Element x y z (fractional)
1 Os 0.992 0.992 0.992
2 Os 0.264 0.264 0.264
3 Tl 0.513 0.513 0.513
4 Br 0.731 0.731 0.731

No. 11
Computed, not measured: a relaxed structure of Dy5Er4Tm4 at the PBE level of DFT.

Properties
For the density of states at the Fermi level, the calculation gives 17.4 states/eV per cell. Its final energy is -4.5281 eV/atom. For the total magnetization, the calculation gives 0.00 μB/atom. As for the symmetry: I4/m (87).

Unit cell a=4.955 b=9.277 c=9.277 alpha=85.91 beta=74.51 gamma=74.51
Element x y z (fractional)
1 Tm 0.846 0.923 0.386
2 Tm 0.231 0.614 0.923
3 Tm 0.154 0.077 0.614
4 Tm 0.769 0.386 0.077
5 Dy 0.307 0.154 0.231
6 Dy 0.693 0.846 0.769
7 Dy 0.461 0.231 0.846
8 Dy 0.000 0.000 0.000
9 Dy 0.539 0.769 0.154
10 Er 0.923 0.462 0.692
11 Er 0.077 0.538 0.308
12 Er 0.615 0.308 0.462
13 Er 0.385 0.692 0.538

No. 12
Computed, not measured: a relaxed structure of LiAgC2O4 at the PBE level of DFT.

Properties
For the density of states at the Fermi level, the calculation gives 0.0 states/eV per cell. The formation energy from raw total energies is -1.152 eV per atom. Its final energy is -6.5328 eV/atom. For the total magnetization, the calculation gives 0.00 μB/atom. Its energy relative to the lowest polymorph listed for this composition is 1 meV/atom. As for the symmetry: P2_1 (4).

Unit cell a=5.142 b=3.628 c=10.365 alpha=88.31 beta=90.00 gamma=90.00
Element x y z (fractional)
1 C 0.440 0.119 0.173
2 C 0.563 0.920 0.295
3 C 0.940 0.881 0.827
4 C 0.063 0.080 0.705
5 O 0.580 0.122 0.073
6 O 0.778 0.758 0.277
7 O 0.213 0.249 0.183
8 O 0.937 0.071 0.599
9 O 0.080 0.878 0.927
10 O 0.437 0.929 0.401
11 O 0.713 0.751 0.817
12 O 0.278 0.242 0.723
13 Li 0.938 0.912 0.104
14 Li 0.438 0.088 0.896
15 Ag 0.050 0.396 0.413
16 Ag 0.550 0.604 0.587

No. 13
Computed, not measured: a relaxed structure of Na3Mg2Hg2Bi4 at the PBE level of DFT.

Properties
For the density of states at the Fermi level, the calculation gives 4.8 states/eV per cell. Its final energy is -2.3336 eV/atom. For the total magnetization, the calculation gives 0.00 μB/atom. As for the symmetry: P-3m1 (164).

Unit cell a=4.864 b=4.864 c=16.527 alpha=90.00 beta=90.00 gamma=120.00
Element x y z (fractional)
1 Na 0.000 0.000 0.275
2 Na 0.000 0.000 0.725
3 Na 0.000 0.000 0.000
4 Bi 0.333 0.667 0.380
5 Bi 0.667 0.333 0.620
6 Bi 0.667 0.333 0.122
7 Bi 0.333 0.667 0.878
8 Mg 0.667 0.333 0.437
9 Mg 0.333 0.667 0.563
10 Hg 0.667 0.333 0.820
11 Hg 0.333 0.667 0.180

No. 14
Computed, not measured: a relaxed structure of Tb6PmNd2Y3 at the PBE level of DFT.

Properties
For the density of states at the Fermi level, the calculation gives 16.4 states/eV per cell. Its final energy is -5.1053 eV/atom. For the total magnetization, the calculation gives 0.00 μB/atom. As for the symmetry: C2/m (12).

Unit cell a=6.223 b=6.223 c=11.901 alpha=94.98 beta=94.98 gamma=119.98
Element x y z (fractional)
1 Tb 0.751 0.751 0.253
2 Tb 0.582 0.916 0.747
3 Tb 0.418 0.084 0.253
4 Tb 0.916 0.582 0.747
5 Tb 0.084 0.418 0.253
6 Tb 0.249 0.249 0.747
7 Y 0.833 0.167 0.500
8 Y 0.500 0.500 0.500
9 Y 0.167 0.833 0.500
10 Pm 0.000 0.000 0.000
11 Nd 0.333 0.667 0.000
12 Nd 0.667 0.333 0.000

No. 15
Computed, not measured: a relaxed structure of ScCd2 at the PBE level of DFT.

Properties
For the density of states at the Fermi level, the calculation gives 2.5 states/eV per cell. Its final energy is -2.9326 eV/atom. For the total magnetization, the calculation gives 0.09 μB/atom. As for the symmetry: I4/mmm (139).

Unit cell a=3.290 b=3.290 c=6.498 alpha=104.66 beta=104.66 gamma=90.00
Element x y z (fractional)
1 Sc 0.000 0.000 0.000
2 Cd 0.668 0.668 0.336
3 Cd 0.332 0.332 0.664

No. 16
Computed, not measured: a relaxed structure of ThOsS2 at the PBE level of DFT.

Properties
For the density of states at the Fermi level, the calculation gives 4.8 states/eV per cell. The formation energy from raw total energies is -0.166 eV per atom. Its final energy is -6.8918 eV/atom. For the total magnetization, the calculation gives 0.00 μB/atom. As for the symmetry: R-3m (166).

Unit cell a=3.812 b=3.812 c=7.646 alpha=75.57 beta=75.57 gamma=60.00
Element x y z (fractional)
1 Th 0.000 0.000 0.000
2 S 0.123 0.123 0.632
3 S 0.877 0.877 0.368
4 Os 0.500 0.500 0.500

No. 17
Computed, not measured: a relaxed structure of Nd2Be2Ru2C at the PBE level of DFT.

Properties
For the density of states at the Fermi level, the calculation gives 5.7 states/eV per cell. Its final energy is -6.6183 eV/atom. For the total magnetization, the calculation gives 0.00 μB/atom. As for the symmetry: C2/m (12).

Unit cell a=4.048 b=5.965 c=5.818 alpha=73.91 beta=69.64 gamma=70.16
Element x y z (fractional)
1 Ru 0.798 0.309 0.095
2 Ru 0.202 0.691 0.905
3 Be 0.182 0.387 0.249
4 Be 0.818 0.613 0.751
5 Nd 0.562 0.182 0.694
6 Nd 0.438 0.818 0.306
7 C 0.000 0.000 0.000

No. 18
Computed, not measured: a relaxed structure of Na12Hg2Au5 at the PBE level of DFT.

Properties
For the density of states at the Fermi level, the calculation gives 6.2 states/eV per cell. Its final energy is -1.9652 eV/atom. For the total magnetization, the calculation gives 0.00 μB/atom. As for the symmetry: C2/m (12).

Unit cell a=10.221 b=7.995 c=8.109 alpha=81.18 beta=90.00 gamma=129.73
Element x y z (fractional)
1 Au 0.000 0.000 0.500
2 Au 0.766 0.531 0.513
3 Au 0.617 0.234 0.835
4 Au 0.383 0.766 0.165
5 Au 0.234 0.469 0.487
6 Na 0.983 0.642 0.809
7 Na 0.659 0.642 0.809
8 Na 0.376 0.222 0.601
9 Na 0.155 0.778 0.399
10 Na 0.906 0.812 0.172
11 Na 0.383 0.765 0.769
12 Na 0.094 0.188 0.828
13 Na 0.017 0.358 0.191
14 Na 0.845 0.222 0.601
15 Na 0.617 0.235 0.231
16 Na 0.341 0.358 0.191
17 Na 0.624 0.778 0.399
18 Hg 0.725 0.000 0.000
19 Hg 0.275 0.000 0.000

No. 19
Computed, not measured: a relaxed structure of Mn2Cd at the PBE level of DFT.

Properties
For the density of states at the Fermi level, the calculation gives 8.4 states/eV per cell. Its final energy is -5.9915 eV/atom. For the total magnetization, the calculation gives 1.35 μB/atom. As for the symmetry: Fd-3m (227).

Unit cell a=4.989 b=4.989 c=4.989 alpha=60.00 beta=60.00 gamma=60.00
Element x y z (fractional)
1 Cd 0.500 0.500 0.500
2 Cd 0.750 0.750 0.750
3 Mn 0.125 0.125 0.125
4 Mn 0.625 0.125 0.125
5 Mn 0.125 0.125 0.625
6 Mn 0.125 0.625 0.125

No. 20
Computed, not measured: a relaxed structure of KCaRe2O8 at the PBE level of DFT.

Properties
For the density of states at the Fermi level, the calculation gives 6.7 states/eV per cell. The formation energy from raw total energies is -1.973 eV per atom. Its final energy is -7.6119 eV/atom. For the total magnetization, the calculation gives 0.09 μB/atom. As for the symmetry: P-3 (147).

Unit cell a=6.055 b=6.055 c=7.585 alpha=90.00 beta=90.00 gamma=120.00
Element x y z (fractional)
1 Re 0.333 0.667 0.771
2 Re 0.667 0.333 0.229
3 O 0.174 0.829 0.695
4 O 0.829 0.655 0.305
5 O 0.345 0.174 0.305
6 O 0.826 0.171 0.305
7 O 0.655 0.826 0.695
8 O 0.667 0.333 0.997
9 O 0.333 0.667 0.003
10 O 0.171 0.345 0.695
11 Ca 0.000 0.000 0.500
12 K 0.000 0.000 0.000

No. 21
Computed, not measured: a relaxed structure of SrNb2Co2 at the PBE level of DFT.

Properties
For the density of states at the Fermi level, the calculation gives 10.9 states/eV per cell. Its final energy is -6.8281 eV/atom. For the total magnetization, the calculation gives 0.00 μB/atom. Its energy relative to the lowest polymorph listed for this composition is 254 meV/atom. As for the symmetry: P4/mbm (127).

Unit cell a=7.762 b=7.762 c=2.985 alpha=90.00 beta=90.00 gamma=90.00
Element x y z (fractional)
1 Co 0.878 0.622 0.000
2 Co 0.622 0.122 0.000
3 Co 0.378 0.878 0.000
4 Co 0.122 0.378 0.000
5 Nb 0.351 0.149 0.500
6 Nb 0.649 0.851 0.500
7 Nb 0.851 0.351 0.500
8 Nb 0.149 0.649 0.500
9 Sr 0.000 0.000 0.000
10 Sr 0.500 0.500 0.000

No. 22
Computed, not measured: a relaxed structure of LiPuAgBi at the PBE level of DFT.

Properties
For the density of states at the Fermi level, the calculation gives 13.5 states/eV per cell. Its final energy is -5.8333 eV/atom. For the total magnetization, the calculation gives 1.56 μB/atom. As for the symmetry: F-43m (216).

Unit cell a=5.094 b=5.094 c=5.094 alpha=60.00 beta=60.00 gamma=60.00
Element x y z (fractional)
1 Pu 0.750 0.750 0.750
2 Bi 0.250 0.250 0.250
3 Li 0.000 0.000 0.000
4 Ag 0.500 0.500 0.500